Below is an optimized crystal structure of KVAsO6, with properties calculated at the PBE+U level.

Summary:
Total magnetization   1.08 μB/f.u.
Theoretical density   3.3 g cm⁻³
Energy   -55.485 eV/f.u.

CIF file:
```
data_KVAsO6
_chemical_formula_sum 'K1 V1 As1 O6'
_cell_length_a 5.0692
_cell_length_b 5.0692
_cell_length_c 5.9723
_cell_angle_alpha 90.00
_cell_angle_beta 90.00
_cell_angle_gamma 120.00
_symmetry_space_group_name_H-M 'P 3 1 2'
_symmetry_Int_Tables_number 149
loop_
_symmetry_equiv_pos_as_xyz
'x,y,z'
'-y,x-y,z'
'-x+y,-x,z'
'-y,-x,-z'
'-x+y,y,-z'
'x,x-y,-z'
loop_
_atom_site_label
_atom_site_fract_x
_atom_site_fract_y
_atom_site_fract_z
K1 0.0000 0.0000 0.0000
V1 0.3333 0.6667 0.5000
As1 0.6667 0.3333 0.5000
O1 0.3946 0.0065 0.6744
```